PBE with a Hubbard U Fe2Co3H4Se6O20, optimized geometry; E_tot = -195.2 eV/cell; density of states at the Fermi level = 0.0 states/eV per cell
1.0
-4.119 -0.884 5.057
-7.045 -1.956 -3.603
0.963 -8.747 1.351
Se Fe O H Co
6 2 20 4 3
Direct
0.329 0.708 0.867
0.199 0.218 0.773
0.757 0.926 0.631
0.801 0.782 0.227
0.243 0.074 0.369
0.671 0.292 0.133
0.140 0.398 0.118
0.860 0.602 0.882
0.580 0.568 0.836
0.768 0.794 0.032
0.232 0.206 0.968
0.834 0.438 0.071
0.741 0.417 0.506
0.166 0.562 0.929
0.259 0.583 0.494
0.607 0.683 0.316
0.973 0.382 0.763
0.027 0.618 0.237
0.420 0.432 0.164
0.136 0.910 0.343
0.929 0.751 0.704
0.535 0.946 0.774
0.671 0.202 0.964
0.864 0.090 0.657
0.465 0.054 0.226
0.393 0.317 0.684
0.071 0.249 0.296
0.329 0.798 0.036
0.684 0.524 0.452
0.870 0.358 0.438
0.316 0.476 0.548
0.130 0.642 0.562
0.312 0.677 0.271
0.688 0.323 0.729
0.500 0.000 0.000